[1]
DFT (PBE) results for a geometry-optimized Pm6Nd8Pu structure.

The structure in POSCAR format:
```
Pm6Nd8Pu
1.0
-1.723 3.604 7.902
7.144 1.925 4.864
1.858 8.632 0.652
Pm Nd Pu
6 8 1
Direct
0.089 0.364 0.662
0.636 0.338 0.911
0.662 0.089 0.364
0.364 0.662 0.089
0.911 0.636 0.338
0.338 0.911 0.636
0.243 0.243 0.243
0.834 0.414 0.127
0.414 0.127 0.834
0.127 0.834 0.414
0.757 0.757 0.757
0.586 0.873 0.166
0.166 0.586 0.873
0.873 0.166 0.586
0.000 0.000 0.000
```

Computed properties:
* energy of formation: 0.2572 eV per atom
* total energy: -77.12 eV/cell

[2]
DFT (PBE) results for a geometry-optimized SmCu5Pd structure.

The structure in POSCAR format:
```
SmCu5Pd
1.0
5.009 0.000 0.000
0.000 8.197 0.000
0.000 0.000 10.291
Cu Sm Pd
20 4 4
Direct
0.250 0.686 0.249
0.997 0.934 0.312
0.503 0.434 0.188
0.003 0.066 0.688
0.750 0.314 0.751
0.250 0.945 0.102
0.497 0.066 0.688
0.250 0.593 0.017
0.750 0.055 0.898
0.250 0.445 0.398
0.003 0.566 0.812
0.750 0.555 0.602
0.750 0.814 0.749
0.997 0.434 0.188
0.497 0.566 0.812
0.750 0.407 0.983
0.250 0.093 0.483
0.250 0.186 0.251
0.503 0.934 0.312
0.750 0.907 0.517
0.250 0.241 0.935
0.750 0.759 0.065
0.250 0.741 0.565
0.750 0.259 0.435
0.750 0.141 0.141
0.750 0.641 0.359
0.250 0.859 0.859
0.250 0.359 0.641
```

Computed properties:
* energy of formation: -0.2654 eV per atom
* total energy: -129.00 eV/cell

[3]
DFT (PBE) results for a geometry-optimized CoTe2RuPt structure.

The structure in POSCAR format:
```
CoTe2RuPt
1.0
4.851 0.000 0.000
0.000 4.383 0.000
0.000 0.000 4.851
Co Te Pt Ru
1 2 1 1
Direct
0.000 0.000 0.000
0.000 0.000 0.500
0.500 0.000 0.000
0.500 0.500 0.500
0.000 0.500 0.000
```

Computed properties:
* total energy: -23.98 eV/cell
* formation energy without anion corrections: 0.946 eV/atom

[4]
DFT (PBE) results for a geometry-optimized Ba2HgI structure.

The structure in POSCAR format:
```
Ba2HgI
1.0
4.174 0.000 0.000
0.000 4.174 0.000
0.000 0.000 9.271
Ba Hg I
2 1 1
Direct
0.000 0.000 0.776
0.000 0.000 0.224
0.500 0.500 0.000
0.500 0.500 0.500
```

Computed properties:
* total energy: -9.20 eV/cell
* formation energy without anion corrections: -0.874 eV/atom
* energy relative to the lowest polymorph listed for this composition: 29.7 meV/atom

[5]
DFT (PBE) results for a geometry-optimized CsAcSiS4 structure.

The structure in POSCAR format:
```
CsAcSiS4
1.0
-5.077 2.122 -4.003
-3.389 -5.751 1.249
-1.937 3.086 8.951
S Si Ac Cs
8 2 2 2
Direct
0.621 0.250 0.450
0.002 0.502 0.289
0.603 0.250 0.813
0.998 0.498 0.711
0.002 0.998 0.289
0.379 0.750 0.550
0.397 0.750 0.187
0.998 0.002 0.711
0.205 0.750 0.325
0.795 0.250 0.675
0.237 0.250 0.547
0.763 0.750 0.453
0.725 0.750 0.936
0.275 0.250 0.064
```

Computed properties:
* total energy: -75.04 eV/cell
* formation energy without anion corrections: -1.518 eV/atom

[6]
DFT (PBE) results for a geometry-optimized Dy4SnGeTe2 structure.

The structure in POSCAR format:
```
Dy4SnGeTe2
1.0
6.111 0.003 0.000
-0.003 6.111 0.000
-3.054 -3.057 6.150
Dy Te Ge Sn
4 2 1 1
Direct
0.514 0.014 0.027
0.986 0.486 0.973
0.746 0.746 0.493
0.254 0.254 0.507
0.000 0.000 0.000
0.250 0.750 0.500
0.750 0.250 0.500
0.500 0.500 0.000
```

Computed properties:
* total energy: -42.06 eV/cell
* formation energy without anion corrections: -1.093 eV/atom